The following is a PBE-GGA calculation of a geometry-optimized VHN2 structure, from Alexandria via LeMat-Bulk.

```
4
Lattice="-3.006 0.508 1.591 -2.218 2.329 -1.218 -2.927 -1.026 -1.486" Properties=species:S:1:pos:R:3 pbc="T T T"
V -4.076 0.905 -0.556
N -2.038 0.453 -0.278
H 0.000 0.000 0.000
N -6.114 1.358 -0.835
```

Computed properties:
The space group is Fm-3m. For the offset from the most stable computed form, the calculation gives 1174 meV per atom.

=====

The following is a PBE-GGA calculation of a geometry-optimized TaInW2 structure, from Alexandria via LeMat-Bulk.

```
4
Lattice="-0.742 4.464 1.064 -2.168 -0.751 1.638 2.601 -0.711 4.799" Properties=species:S:1:pos:R:3 pbc="T T T"
Ta -0.047 1.135 5.360
In -0.263 1.866 2.141
W 2.546 -0.705 4.737
W 0.270 -0.737 3.280
```

Computed properties:
The space group is P2/m. Its energy of formation is 309 meV per atom.

=====

The following is a PBE-GGA calculation of a geometry-optimized Mg2InRu structure, from Alexandria via LeMat-Bulk.

```
4
Lattice="5.538 0.002 0.000 2.636 4.870 0.000 -3.656 -3.160 2.706" Properties=species:S:1:pos:R:3 pbc="T T T"
In 1.534 2.074 1.353
Mg 4.296 2.561 0.000
Mg 7.966 4.748 0.000
Ru 2.985 -0.361 1.353
```

Computed properties:
The space group is Immm. Its energy of formation is -80 meV per atom.

=====

The following is a PBE-GGA calculation of a geometry-optimized BaLa2MgRu structure, from Alexandria via LeMat-Bulk.

```
5
Lattice="5.463 0.000 0.000 0.000 5.463 0.000 0.000 0.000 6.216" Properties=species:S:1:pos:R:3 pbc="T T T"
Mg 2.731 2.731 3.108
Ba 0.000 0.000 3.108
La 2.731 0.000 0.000
La 0.000 2.731 0.000
Ru 0.000 0.000 0.000
```

Computed properties:
The space group is P4/mmm. For the offset from the most stable computed form, the calculation gives 104 meV per atom. Its energy of formation is -31 meV per atom.

=====

The following is a PBE-GGA calculation of a geometry-optimized BaPSe2 structure, from Alexandria via LeMat-Bulk.

```
4
Lattice="2.868 -4.230 1.346 -1.263 -2.786 4.310 -2.048 -4.847 -0.493" Properties=species:S:1:pos:R:3 pbc="T T T"
Se 0.000 0.000 0.000
P -0.111 -2.966 1.291
Ba -0.222 -5.932 2.582
Se -0.333 -8.898 3.873
```

Computed properties:
The space group is F-43m. For the offset from the most stable computed form, the calculation gives 817 meV per atom. The uncorrected formation energy comes out at -0.092 eV per atom.

=====

The following is a PBE-GGA calculation of a geometry-optimized Ti6Mn2Nb structure, from Alexandria via LeMat-Bulk.

```
9
Lattice="-2.505 1.499 0.886 -4.125 -2.998 -1.339 -2.096 -4.993 7.772" Properties=species:S:1:pos:R:3 pbc="T T T"
Ti -5.252 -4.775 3.733
Ti -2.659 -4.196 4.834
Mn -1.735 -0.887 1.848
Ti -4.655 -5.375 6.436
Ti -6.068 -2.295 2.485
Mn -6.992 -5.605 5.471
Ti -4.071 -1.117 0.883
Ti -3.475 -1.717 3.585
Nb 0.000 0.000 0.000
```

Computed properties:
The space group is C2/m. Its energy of formation is -110 meV per atom.

=====

The following is a PBE-GGA calculation of a geometry-optimized ScCrCd2 structure, from Alexandria via LeMat-Bulk.

```
4
Lattice="9.972 0.024 0.014 9.483 3.083 0.014 9.483 1.515 2.685" Properties=species:S:1:pos:R:3 pbc="T T T"
Cd 0.054 0.009 0.005
Cd 7.032 1.123 0.660
Sc 21.947 3.506 2.058
Cr 14.374 2.296 1.348
```

Computed properties:
The space group is R3m. For the offset from the most stable computed form, the calculation gives 215 meV per atom. Its energy of formation is 257 meV per atom.

=====

The following is a PBE-GGA calculation of a geometry-optimized Cs5Rb4O structure, from Alexandria via LeMat-Bulk.

```
10
Lattice="7.903 0.000 0.000 3.951 10.324 0.000 3.951 0.000 10.324" Properties=species:S:1:pos:R:3 pbc="T T T"
Cs 7.899 10.307 7.498
Cs 3.295 0.000 0.000
Rb 4.001 3.504 3.552
O 0.554 0.000 0.000
Cs 3.948 7.498 0.017
Rb 7.952 6.772 3.504
Cs 11.851 2.825 10.307
Rb 11.904 6.819 6.772
Rb 7.952 3.552 6.819
Cs 7.899 0.017 2.825
```

Computed properties:
The space group is I4. The uncorrected formation energy comes out at -0.302 eV per atom.

=====

The following is a PBE-GGA calculation of a geometry-optimized CaRePb2 structure, from Alexandria via LeMat-Bulk.

```
4
Lattice="-2.007 1.257 2.053 0.562 -2.844 1.192 8.314 4.019 5.667" Properties=species:S:1:pos:R:3 pbc="T T T"
Pb 8.153 3.941 5.557
Ca 5.205 2.072 5.663
Pb 1.793 0.423 3.338
Re 4.190 2.026 2.856
```

Computed properties:
The space group is Cmm2. For the offset from the most stable computed form, the calculation gives 230 meV per atom. Its energy of formation is 608 meV per atom.

=====

The following is a PBE-GGA calculation of a geometry-optimized GaFeSCl2 structure, from Alexandria via LeMat-Bulk.

```
5
Lattice="-1.963 -3.453 -2.501 4.211 -1.141 -1.731 0.667 -2.972 3.582" Properties=species:S:1:pos:R:3 pbc="T T T"
Fe 1.457 -3.783 -0.325
Ga 0.000 0.000 0.000
S 0.333 -1.486 1.791
Cl 2.106 -0.571 -0.865
Cl -0.982 -1.727 -1.250
```

Computed properties:
The space group is P4/mmm. For the offset from the most stable computed form, the calculation gives 518 meV per atom. The uncorrected formation energy comes out at 0.183 eV per atom.

=====

The following is a PBE-GGA calculation of a geometry-optimized DyErMgPt structure, from Alexandria via LeMat-Bulk.

```
4
Lattice="-1.717 -4.489 1.584 2.375 -2.440 3.743 -2.191 -0.411 4.543" Properties=species:S:1:pos:R:3 pbc="T T T"
Dy 0.000 0.000 0.000
Pt -1.149 -5.505 7.402
Mg -0.383 -1.835 2.467
Er -0.766 -3.670 4.935
```

Computed properties:
The space group is F-43m. Its energy of formation is -610 meV per atom.

=====

The following is a PBE-GGA calculation of a geometry-optimized RbNb2Re structure, from Alexandria via LeMat-Bulk.

```
4
Lattice="4.192 0.580 2.251 0.370 -1.002 4.672 2.497 -3.829 1.440" Properties=species:S:1:pos:R:3 pbc="T T T"
Re 3.529 -2.125 4.181
Rb 0.000 0.000 0.000
Nb 5.294 -3.188 6.272
Nb 1.765 -1.063 2.091
```

Computed properties:
The space group is Fm-3m. For the offset from the most stable computed form, the calculation gives 0 meV per atom. Its energy of formation is 1432 meV per atom.

=====

The following is a PBE-GGA calculation of a geometry-optimized Er3NiHg structure, from Alexandria via LeMat-Bulk.

```
10
Lattice="3.932 0.000 0.000 0.000 7.675 -1.997 0.000 -0.476 8.414" Properties=species:S:1:pos:R:3 pbc="T T T"
Er 2.949 5.026 2.144
Hg 0.983 2.674 1.136
Er 2.949 0.354 1.925
Ni 0.983 6.963 1.599
Er 0.983 5.269 -0.739
Ni 2.949 0.236 4.817
Er 0.983 2.173 4.272
Er 0.983 6.845 4.492
Er 2.949 1.930 7.156
Hg 2.949 4.525 5.280
```

Computed properties:
The space group is P2_1/m. For the offset from the most stable computed form, the calculation gives 0 meV per atom. Its energy of formation is -367 meV per atom.

=====

The following is a PBE-GGA calculation of a geometry-optimized ErPaB4 structure, from Alexandria via LeMat-Bulk.

```
6
Lattice="0.139 -3.312 -1.396 -0.697 -1.396 3.241 -5.335 2.585 -2.031" Properties=species:S:1:pos:R:3 pbc="T T T"
Er -3.156 -0.582 1.067
B -4.721 0.194 -0.932
B -3.619 -1.504 -1.426
B -1.172 -2.317 0.746
Pa 0.000 0.000 0.000
B -1.856 -1.577 -1.078
```

Computed properties:
The space group is I-4m2. For the offset from the most stable computed form, the calculation gives 0 meV per atom. Its energy of formation is -457 meV per atom.

=====

The following is a PBE-GGA calculation of a geometry-optimized BaMg4Si2 structure, from Alexandria via LeMat-Bulk.

```
7
Lattice="-3.358 3.064 -0.452 -1.681 -2.364 -3.543 -3.717 -3.075 6.775" Properties=species:S:1:pos:R:3 pbc="T T T"
Mg -3.285 0.032 1.537
Mg -2.916 -2.723 3.201
Si -3.232 -0.316 -1.215
Si -5.524 -2.059 3.995
Mg -5.471 -2.407 1.243
Mg -2.482 -2.716 0.031
Ba 0.000 0.000 0.000
```

Computed properties:
The space group is Cmmm. The uncorrected formation energy comes out at -0.228 eV per atom.

=====

The following is a PBE-GGA calculation of a geometry-optimized Sc2AuCl structure, from Alexandria via LeMat-Bulk.

```
4
Lattice="-4.223 5.960 -2.788 -4.985 5.861 1.386 -1.445 7.683 -0.082" Properties=species:S:1:pos:R:3 pbc="T T T"
Au -5.326 9.752 -0.742
Cl 0.000 0.000 0.000
Sc -1.190 2.179 -0.166
Sc -9.462 17.325 -1.318
```

Computed properties:
The space group is R-3m. For the offset from the most stable computed form, the calculation gives 79 meV per atom. The uncorrected formation energy comes out at -0.887 eV per atom.

=====

The following is a PBE-GGA calculation of a geometry-optimized MnBeI2N structure, from Alexandria via LeMat-Bulk.

```
5
Lattice="5.428 0.000 0.000 0.000 5.428 0.000 0.000 0.000 3.561" Properties=species:S:1:pos:R:3 pbc="T T T"
I 2.714 0.000 0.000
I 0.000 2.714 0.000
Be 2.714 2.714 1.780
N 0.000 0.000 1.780
Mn 0.000 0.000 0.000
```

Computed properties:
The space group is P4/mmm. For the offset from the most stable computed form, the calculation gives 103 meV per atom. The uncorrected formation energy comes out at 0.652 eV per atom.

=====

The following is a PBE-GGA calculation of a geometry-optimized AcErTm2 structure, from Alexandria via LeMat-Bulk.

```
8
Lattice="-1.438 -3.290 0.057 2.639 -1.234 -4.615 11.546 -2.975 7.397" Properties=species:S:1:pos:R:3 pbc="T T T"
Tm 5.323 -2.853 2.658
Ac 7.938 -3.968 4.451
Tm 2.143 -3.504 -2.211
Ac 11.076 -5.365 3.393
Tm 6.988 -5.569 1.110
Er 2.272 -3.505 1.089
Tm 0.478 -0.788 -0.663
Er 5.193 -2.851 -0.643
```

Computed properties:
The space group is P2_1/m. For the offset from the most stable computed form, the calculation gives 21 meV per atom. Its energy of formation is 97 meV per atom.

=====

The following is a PBE-GGA calculation of a geometry-optimized Be3HgRh structure, from Alexandria via LeMat-Bulk.

```
5
Lattice="4.243 0.000 0.000 0.000 4.243 0.000 0.000 0.000 4.243" Properties=species:S:1:pos:R:3 pbc="T T T"
Be 2.122 0.000 0.000
Be 0.000 0.000 2.122
Hg 2.122 2.122 2.122
Be 0.000 2.122 0.000
Rh 0.000 0.000 0.000
```

Computed properties:
The space group is Pm-3m. For the offset from the most stable computed form, the calculation gives 0 meV per atom. Its energy of formation is 362 meV per atom.

=====

The following is a PBE-GGA calculation of a geometry-optimized Pm2RhAu structure, from Alexandria via LeMat-Bulk.

```
8
Lattice="-3.812 -1.036 -2.258 -1.446 -3.784 4.177 -2.893 7.136 1.611" Properties=species:S:1:pos:R:3 pbc="T T T"
Pm -5.872 4.952 0.766
Pm -4.431 1.525 -0.095
Au -2.036 -0.009 1.149
Au -6.115 2.325 2.381
Rh -4.677 -1.261 1.597
Pm -2.279 -2.636 2.764
Pm -3.719 0.791 3.624
Rh -3.474 3.577 1.932
```

Computed properties:
The space group is P2_1/m. Its energy of formation is -786 meV per atom.

=====

The following is a PBE-GGA calculation of a geometry-optimized Pr3ZnIr8 structure, from Alexandria via LeMat-Bulk.

```
12
Lattice="5.413 0.000 0.000 2.707 4.688 0.000 2.707 1.563 8.794" Properties=species:S:1:pos:R:3 pbc="T T T"
Pr 8.120 4.688 0.163
Ir 4.065 2.347 1.656
Ir 6.762 2.347 1.656
Zn 8.120 4.688 3.542
Ir 8.120 3.130 5.983
Pr 5.413 3.125 4.280
Ir 2.707 1.563 3.798
Ir 5.413 4.683 1.656
Ir 8.120 4.688 8.205
Ir 6.771 5.467 5.983
Ir 9.470 5.467 5.983
Pr 5.413 3.125 7.663
```

Computed properties:
The space group is R3m. Its energy of formation is -456 meV per atom.

=====

The following is a PBE-GGA calculation of a geometry-optimized EuAlAs structure, from Alexandria via LeMat-Bulk.

```
3
Lattice="4.141 0.000 0.000 0.000 4.407 0.000 0.000 -2.203 3.816" Properties=species:S:1:pos:R:3 pbc="T T T"
Al 0.688 0.000 0.000
As 0.693 0.000 2.544
Eu 2.761 2.203 1.272
```

Computed properties:
The space group is P-6m2. Its energy of formation is -655 meV per atom.

=====

The following is a PBE-GGA calculation of a geometry-optimized SrAlZn2Au structure, from Alexandria via LeMat-Bulk.

```
5
Lattice="-2.945 -0.931 -2.912 1.373 -4.185 -0.051 -2.929 1.289 5.644" Properties=species:S:1:pos:R:3 pbc="T T T"
Zn -2.888 -0.949 0.130
Au -3.209 -3.386 1.233
Sr -3.293 -1.125 3.689
Zn -0.445 -0.152 0.499
Al -0.743 -2.581 1.576
```

Computed properties:
The space group is Imm2. Its energy of formation is -418 meV per atom.

=====

The following is a PBE-GGA calculation of a geometry-optimized Ho4SiBi2 structure, from Alexandria via LeMat-Bulk.

```
14
Lattice="0.138 -4.804 -4.613 2.749 -4.077 4.329 -8.405 -0.553 4.816" Properties=species:S:1:pos:R:3 pbc="T T T"
Bi -3.150 -2.703 1.933
Ho -1.969 -2.478 -1.059
Ho -5.138 -3.820 7.101
Bi -2.368 -6.731 2.600
Ho -0.608 -4.496 1.084
Ho -0.380 -5.614 -2.568
Si -6.248 -5.631 1.142
Si 0.730 -3.803 3.390
Bi 1.730 -6.439 0.272
Ho -3.871 -5.564 -0.304
Ho -1.648 -3.870 4.837
Ho -4.910 -4.938 3.449
Ho -3.549 -6.956 5.592
Bi -7.248 -2.995 4.260
```

Computed properties:
The space group is P2_1/m. The uncorrected formation energy comes out at -0.505 eV per atom.

=====

The following is a PBE-GGA calculation of a geometry-optimized Pr2Sm3Sn3 structure, from Alexandria via LeMat-Bulk.

```
16
Lattice="-2.938 -6.116 0.679 7.826 -3.352 3.668 -6.473 3.719 5.495" Properties=species:S:1:pos:R:3 pbc="T T T"
Sn 2.559 -6.626 2.741
Sm 5.214 -4.077 2.958
Sm -1.175 -4.308 7.474
Sn -6.142 -2.324 3.853
Sn -3.269 -0.073 2.321
Sn 0.089 -1.305 5.746
Sn 2.329 -2.841 1.606
Sm -5.655 1.298 4.347
Pr 3.060 -0.995 4.277
Sm -0.326 -5.391 1.389
Pr 1.591 -4.053 4.617
Sm -0.410 -1.441 2.368
Pr -1.707 1.362 4.886
Sn -1.674 -4.443 4.097
Pr -3.176 -1.696 5.226
Sm -3.756 -3.695 1.828
```

Computed properties:
The space group is P6_3/mcm. Its energy of formation is -683 meV per atom.

=====

The following is a PBE-GGA calculation of a geometry-optimized AsPbSe2 structure, from Alexandria via LeMat-Bulk.

```
4
Lattice="-0.567 -0.340 -3.767 -2.676 -2.391 -1.323 -6.484 4.981 -1.415" Properties=species:S:1:pos:R:3 pbc="T T T"
As -8.640 3.154 -4.808
Se -2.164 0.271 -1.640
Pb -4.876 1.139 -3.251
Se -5.395 3.794 -1.472
```

Computed properties:
The space group is R3m. For the offset from the most stable computed form, the calculation gives 57 meV per atom. The uncorrected formation energy comes out at -0.136 eV per atom.